{
  "formula": "LiZrNbCo2",
  "functional": "PBE-GGA",
  "state": "optimized geometry",
  "lattice_angstrom": [[-3.653, -1.557, -0.910], [1.073, -3.706, 2.035], [-1.499, 1.480, 3.486]],
  "species": ["Nb", "Co", "Co", "Zr", "Li"],
  "frac_coords": [[0.500, 0.500, 0.500], [0.000, 0.000, 0.500], [0.500, 0.000, 0.000], [0.000, 0.500, 0.000], [0.000, 0.000, 0.000]],
  "m_tot_mub_per_fu": 0.0,
  "energy_ev_per_atom": -6.1845,
  "e_form_ev_per_atom": 0.76
}